Here is a relaxed structure of Hf3VAs from Alexandria via LeMat-Bulk. Energies are from PBE.

Computed properties:
* crystal system: cubic
* DOS(E_F): 1.192 states/eV per atom
* calculated formation energy: 670 meV/atom
* energy above the most stable polymorph in this dataset: 0.224 eV/atom

a = 4.8276 Å, b = 4.8276 Å, c = 4.8276 Å
α = 90.00°, β = 90.00°, γ = 90.00°
Sites, in units of the cell vectors:
Hf  0.0000  0.0000  0.5000
Hf  0.0000  0.5000  0.0000
Hf  0.5000  0.0000  0.0000
V  0.0000  0.0000  0.0000
As  0.5000  0.5000  0.5000